# CrCdMo2 | the Alexandria database | PBE-GGA | optimized geometry
data_CrCdMo2
_chemical_formula_sum 'Cr1 Cd1 Mo2'
_cell_length_a 3.861
_cell_length_b 3.861
_cell_length_c 4.286
_cell_angle_alpha 90.00
_cell_angle_beta 90.00
_cell_angle_gamma 90.00
_space_group_name_H-M_alt 'P 4/m m m'
_space_group_IT_number 123
_space_group_name_Hall '-P 4 2'
loop_
_atom_site_label
_atom_site_type_symbol
_atom_site_fract_x
_atom_site_fract_y
_atom_site_fract_z
_atom_site_occupancy
Cr1 Cr 0.000 0.000 0.000 1
Cd1 Cd 0.500 0.500 0.000 1
Mo1 Mo 0.000 0.500 0.500 1
# - ΔE_f (meV per atom) = 494
# - VASP energy (Ha/atom) = -0.278
# - size of the total moment (μB/f.u.) = 1.736



# Nd5Hg2Bi2 | the Alexandria database | PBE-GGA | optimized geometry
data_Nd5Hg2Bi2
_chemical_formula_sum 'Nd20 Hg8 Bi8'
_cell_length_a 16.390
_cell_length_b 8.444
_cell_length_c 8.315
_cell_angle_alpha 90.00
_cell_angle_beta 90.00
_cell_angle_gamma 90.00
_space_group_name_H-M_alt 'C m c e'
_space_group_IT_number 64
_space_group_name_Hall '-C 2ac 2'
loop_
_atom_site_label
_atom_site_type_symbol
_atom_site_fract_x
_atom_site_fract_y
_atom_site_fract_z
_atom_site_occupancy
Nd1 Nd 0.000 0.000 0.000 1
Nd2 Nd 0.134 0.169 0.337 1
Hg1 Hg 0.000 0.132 0.629 1
Bi1 Bi 0.204 0.000 0.000 1
# - ΔE_f (meV per atom) = -615
# - VASP energy (Ha/atom) = -0.154
# - size of the total moment (μB/f.u.) = 0.000



# Tb3AlCo3 | the Alexandria database | PBE-GGA | optimized geometry
data_Tb3AlCo3
_chemical_formula_sum 'Tb12 Al4 Co12'
_cell_length_a 4.057
_cell_length_b 10.084
_cell_length_c 13.013
_cell_angle_alpha 90.00
_cell_angle_beta 90.00
_cell_angle_gamma 90.00
_space_group_name_H-M_alt 'C m c m'
_space_group_IT_number 63
_space_group_name_Hall '-C 2c 2'
loop_
_atom_site_label
_atom_site_type_symbol
_atom_site_fract_x
_atom_site_fract_y
_atom_site_fract_z
_atom_site_occupancy
Tb1 Tb 0.000 0.006 0.250 1
Tb2 Tb 0.000 0.293 0.105 1
Al1 Al 0.000 0.000 0.000 1
Co1 Co 0.000 0.297 0.750 1
Co2 Co 0.000 0.418 0.593 1
# - ΔE_f (meV per atom) = -327
# - VASP energy (Ha/atom) = -0.217
# - size of the total moment (μB/f.u.) = 0.000



# Mn3SiPt | the Alexandria database | PBE-GGA | optimized geometry
data_Mn3SiPt
_chemical_formula_sum 'Mn3 Si1 Pt1'
_cell_length_a 4.124
_cell_length_b 4.124
_cell_length_c 4.124
_cell_angle_alpha 90.00
_cell_angle_beta 90.00
_cell_angle_gamma 90.00
_space_group_name_H-M_alt 'P m -3 m'
_space_group_IT_number 221
_space_group_name_Hall '-P 4 2 3'
loop_
_atom_site_label
_atom_site_type_symbol
_atom_site_fract_x
_atom_site_fract_y
_atom_site_fract_z
_atom_site_occupancy
Mn1 Mn 0.000 0.000 0.500 1
Si1 Si 0.000 0.000 0.000 1
Pt1 Pt 0.500 0.500 0.500 1
# - VASP energy (Ha/atom) = -0.253
# - size of the total moment (μB/f.u.) = 0.000
# - uncorrected formation energy (eV/atom) = 0.905



# HfB2W | the Alexandria database | PBE-GGA | optimized geometry
data_HfB2W
_chemical_formula_sum 'Hf3 B6 W3'
_cell_length_a 3.2604
_cell_length_b 3.2604
_cell_length_c 16.1194
_cell_angle_alpha 90.00
_cell_angle_beta 90.00
_cell_angle_gamma 120.00
_space_group_name_H-M_alt 'R -3 m'
_space_group_IT_number 166
_space_group_name_Hall '-R 3 2"'
loop_
_atom_site_label
_atom_site_type_symbol
_atom_site_fract_x
_atom_site_fract_y
_atom_site_fract_z
_atom_site_occupancy
Hf1 Hf 0.0000 0.0000 0.0000 1
B1 B 0.0000 0.0000 0.2435 1
W1 W 0.0000 0.0000 0.5000 1
# - ΔE_f (meV per atom) = -476
# - VASP energy (Ha/atom) = -0.351
# - size of the total moment (μB/f.u.) = 0.000
# - energy above the lowest structure with this stoichiometry (eV/atom) = 0.199



# Li2GaNi2 | the Alexandria database | PBE-GGA | optimized geometry
data_Li2GaNi2
_chemical_formula_sum 'Li4 Ga2 Ni4'
_cell_length_a 6.985
_cell_length_b 4.035
_cell_length_c 4.882
_cell_angle_alpha 90.00
_cell_angle_beta 118.39
_cell_angle_gamma 90.00
_space_group_name_H-M_alt 'C 1 2/m 1'
_space_group_IT_number 12
loop_
_space_group_symop_operation_xyz
'x,y,z'
'-x,-y,-z'
'-x,y,-z'
'x,-y,z'
'x+1/2,y+1/2,z'
'-x+1/2,-y+1/2,-z'
'-x+1/2,y+1/2,-z'
'x+1/2,-y+1/2,z'
loop_
_atom_site_label
_atom_site_type_symbol
_atom_site_fract_x
_atom_site_fract_y
_atom_site_fract_z
_atom_site_occupancy
Li1 Li 0.200 0.000 0.099 1
Ga1 Ga 0.000 0.000 0.500 1
Ni1 Ni 0.105 0.500 0.315 1
# - ΔE_f (meV per atom) = -226
# - VASP energy (Ha/atom) = -0.144
# - size of the total moment (μB/f.u.) = 0.000
# - energy above the lowest structure with this stoichiometry (eV/atom) = 0.000



# Y3SbIr | the Alexandria database | PBE-GGA | optimized geometry
data_Y3SbIr
_chemical_formula_sum 'Y3 Sb1 Ir1'
_cell_length_a 5.353
_cell_length_b 5.353
_cell_length_c 5.353
_cell_angle_alpha 90.00
_cell_angle_beta 90.00
_cell_angle_gamma 90.00
_space_group_name_H-M_alt 'P m -3 m'
_space_group_IT_number 221
_space_group_name_Hall '-P 4 2 3'
loop_
_atom_site_label
_atom_site_type_symbol
_atom_site_fract_x
_atom_site_fract_y
_atom_site_fract_z
_atom_site_occupancy
Y1 Y 0.000 0.000 0.500 1
Sb1 Sb 0.500 0.500 0.500 1
Ir1 Ir 0.000 0.000 0.000 1
# - VASP energy (Ha/atom) = -0.257
# - size of the total moment (μB/f.u.) = 0.000
# - uncorrected formation energy (eV/atom) = -0.529
# - energy above the lowest structure with this stoichiometry (eV/atom) = 0.000



# SrScNi2N | the Alexandria database | PBE-GGA | optimized geometry
data_SrScNi2N
_chemical_formula_sum 'Sr1 Sc1 Ni2 N1'
_cell_length_a 4.398
_cell_length_b 4.398
_cell_length_c 6.215
_cell_angle_alpha 90.00
_cell_angle_beta 90.00
_cell_angle_gamma 90.00
_space_group_name_H-M_alt 'P 4/m m m'
_space_group_IT_number 123
_space_group_name_Hall '-P 4 2'
loop_
_atom_site_label
_atom_site_type_symbol
_atom_site_fract_x
_atom_site_fract_y
_atom_site_fract_z
_atom_site_occupancy
Sr1 Sr 0.000 0.000 0.000 1
Sc1 Sc 0.000 0.000 0.500 1
Ni1 Ni 0.000 0.500 0.000 1
N1 N 0.500 0.500 0.500 1
# - VASP energy (Ha/atom) = -0.117
# - size of the total moment (μB/f.u.) = 0.000
# - uncorrected formation energy (eV/atom) = 2.408



# MgGaB | the Alexandria database | PBE-GGA | optimized geometry
data_MgGaB
_chemical_formula_sum 'Mg4 Ga4 B4'
_cell_length_a 12.170
_cell_length_b 3.120
_cell_length_c 5.840
_cell_angle_alpha 90.00
_cell_angle_beta 118.61
_cell_angle_gamma 90.00
_space_group_name_H-M_alt 'C 1 m 1'
_space_group_IT_number 8
loop_
_space_group_symop_operation_xyz
'x,y,z'
'x,-y,z'
'x+1/2,y+1/2,z'
'x+1/2,-y+1/2,z'
loop_
_atom_site_label
_atom_site_type_symbol
_atom_site_fract_x
_atom_site_fract_y
_atom_site_fract_z
_atom_site_occupancy
Mg1 Mg 0.000 0.000 0.000 1
Mg2 Mg 0.202 0.000 0.703 1
Ga1 Ga 0.227 0.500 0.139 1
Ga2 Ga 0.475 0.000 0.386 1
B1 B 0.331 0.500 0.572 1
B2 B 0.370 0.000 0.610 1
# - ΔE_f (meV per atom) = 128
# - VASP energy (Ha/atom) = -0.134
# - size of the total moment (μB/f.u.) = 0.000



# Tm12Ni6Os | the Alexandria database | PBE-GGA | optimized geometry
data_Tm12Ni6Os
_chemical_formula_sum 'Tm36 Ni18 Os3'
_cell_length_a 12.0881
_cell_length_b 12.0881
_cell_length_c 11.1982
_cell_angle_alpha 90.00
_cell_angle_beta 90.00
_cell_angle_gamma 120.00
_space_group_name_H-M_alt 'R -3'
_space_group_IT_number 148
_space_group_name_Hall '-R 3'
loop_
_atom_site_label
_atom_site_type_symbol
_atom_site_fract_x
_atom_site_fract_y
_atom_site_fract_z
_atom_site_occupancy
Tm1 Tm 0.0228 0.2084 0.3878 1
Tm2 Tm 0.0300 0.2011 0.8762 1
Ni1 Ni 0.0359 0.2583 0.6405 1
Os1 Os 0.0000 0.0000 0.0000 1
# - ΔE_f (meV per atom) = -219
# - VASP energy (Ha/atom) = -0.201
# - size of the total moment (μB/f.u.) = 0.000
# - energy above the lowest structure with this stoichiometry (eV/atom) = 0.091



# Ca5AcIr2 | the Alexandria database | PBE-GGA | optimized geometry
data_Ca5AcIr2
_chemical_formula_sum 'Ca10 Ac2 Ir4'
_cell_length_a 4.647
_cell_length_b 9.340
_cell_length_c 10.889
_cell_angle_alpha 90.00
_cell_angle_beta 90.00
_cell_angle_gamma 90.00
_space_group_name_H-M_alt 'I m m m'
_space_group_IT_number 71
_space_group_name_Hall '-I 2 2'
loop_
_atom_site_label
_atom_site_type_symbol
_atom_site_fract_x
_atom_site_fract_y
_atom_site_fract_z
_atom_site_occupancy
Ca1 Ca 0.000 0.000 0.000 1
Ca2 Ca 0.000 0.320 0.327 1
Ac1 Ac 0.000 0.500 0.000 1
Ir1 Ir 0.000 0.000 0.280 1
# - ΔE_f (meV per atom) = -244
# - VASP energy (Ha/atom) = -0.155
# - size of the total moment (μB/f.u.) = 0.000



# ErCo4P2 | the Alexandria database | PBE-GGA | optimized geometry
data_ErCo4P2
_chemical_formula_sum 'Er2 Co8 P4'
_cell_length_a 7.038
_cell_length_b 7.038
_cell_length_c 3.525
_cell_angle_alpha 90.00
_cell_angle_beta 90.00
_cell_angle_gamma 90.00
_space_group_name_H-M_alt 'P 42/m n m'
_space_group_IT_number 136
_space_group_name_Hall '-P 4n 2n'
loop_
_atom_site_label
_atom_site_type_symbol
_atom_site_fract_x
_atom_site_fract_y
_atom_site_fract_z
_atom_site_occupancy
Er1 Er 0.000 0.000 0.000 1
Co1 Co 0.080 0.338 0.500 1
P1 P 0.225 0.775 0.500 1
# - ΔE_f (meV per atom) = -763
# - VASP energy (Ha/atom) = -0.258
# - size of the total moment (μB/f.u.) = 0.922



Question: What is the VASP energy in the ninth record?
Answer: -0.134 Ha/atom